A relaxed NbSn2BH crystal, computed with PBE-GGA.

Space group: No. 123
DFT total energy, eV per cell: -25.146
Calculated volume, A^3/atom: 16.110

Lattice parameters (Å, degrees): 5.2235 2.9522 5.2235 90.00 90.00 90.00
Fractional positions:
1 H 0.0000 0.5000 0.0000
2 Nb 0.5000 0.5000 0.5000
3 B 0.0000 0.0000 0.0000
4 Sn 0.0000 0.0000 0.5000
5 Sn 0.5000 0.0000 0.0000